# Nd5Dy4Cd

A relaxed Nd5Dy4Cd crystal (PBE-GGA, the Alexandria database).

Lattice parameters (Å, degrees): 3.6407 3.6407 24.4924 90.00 90.00 90.00
Space group P4/mmm (No. 123)
One atom of each set of equivalent atoms:
Nd (0.0000, 0.0000, 0.0000) [1 per cell]
Nd (0.0000, 0.0000, 0.2059) [2 per cell]
Nd (0.0000, 0.0000, 0.4124) [2 per cell]
Dy (0.5000, 0.5000, 0.1030) [2 per cell]
Dy (0.5000, 0.5000, 0.3090) [2 per cell]
Cd (0.5000, 0.5000, 0.5000) [1 per cell]



# Nd5DyCd6

A relaxed Nd5DyCd6 crystal (PBE-GGA, the Alexandria database).

Lattice parameters (Å, degrees): 5.4092 16.2554 7.7164 90.00 90.00 90.00
Space group Cmmm (No. 65)
One atom of each set of equivalent atoms:
Nd (0.0000, 0.0000, 0.0000) [2 per cell]
Nd (0.0000, 0.3314, 0.0000) [4 per cell]
Nd (0.0000, 0.3339, 0.5000) [4 per cell]
Dy (0.0000, 0.0000, 0.5000) [2 per cell]
Cd (0.0000, 0.1634, 0.2544) [8 per cell]
Cd (0.0000, 0.5000, 0.2560) [4 per cell]



# Nd2Dy5Cd

A relaxed Nd2Dy5Cd crystal (PBE-GGA, the Alexandria database).

Lattice parameters (Å, degrees): 9.9489 9.9457 7.0302 90.00 134.92 90.00
Space group Cm (No. 8)
One atom of each set of equivalent atoms:
Nd (0.0000, 0.0000, 0.0000) [2 per cell]
Nd (0.0205, 0.5000, 0.5158) [2 per cell]
Dy (0.0473, 0.5000, 0.0416) [2 per cell]
Dy (0.2671, 0.2379, 0.0107) [4 per cell]
Dy (0.2676, 0.2395, 0.5160) [4 per cell]
Cd (0.0194, 0.0000, 0.5168) [2 per cell]



# Nd5Dy3Cd2

A relaxed Nd5Dy3Cd2 crystal (PBE-GGA, the Alexandria database).

Lattice parameters (Å, degrees): 8.4315 21.6018 7.0089 90.00 90.00 90.00
Space group Ibam (No. 72)
One atom of each set of equivalent atoms:
Nd (0.0000, 0.0000, 0.2500) [4 per cell]
Nd (0.0000, 0.3355, 0.2500) [8 per cell]
Nd (0.1688, 0.2159, 0.0000) [8 per cell]
Dy (0.0000, 0.5000, 0.2500) [4 per cell]
Dy (0.1800, 0.1202, 0.5000) [8 per cell]
Cd (0.2469, 0.0747, 0.0000) [8 per cell]



Number 1: formation energy from the elements -0.045 eV/atom, DFT total energy -43.61 eV for the cell shown. Number 2: formation energy from the elements -0.316 eV/atom, DFT total energy -75.44 eV for the cell shown. Number 3: formation energy from the elements -0.016 eV/atom, DFT total energy -67.18 eV for the cell shown. Number 4: formation energy from the elements 0.012 eV/atom, DFT total energy -157.42 eV for the cell shown.